No. 1
# BaCa2Tc (meta-GGA SCAN, single point on PBEsol structure)
# calculated volume: 113.0 Å³/f.u.
# size of the total moment: 4.57 μB per cell
# DFT formation energy: 778 meV per atom
# uncorrected energy: -363.30 eV per cell
# E above lowest polymorph: 233.6 meV/atom
data_BaCa2Tc
_symmetry_space_group_name_H-M 'F -4 3 m'
_symmetry_Int_Tables_number 216
_symmetry_space_group_name_Hall 'F -4 2 3'
_cell_length_a 7.675
_cell_length_b 7.675
_cell_length_c 7.675
_cell_angle_alpha 90.00
_cell_angle_beta 90.00
_cell_angle_gamma 90.00
loop_
_atom_site_label
_atom_site_fract_x
_atom_site_fract_y
_atom_site_fract_z
_atom_site_occupancy
Ba1 0.000 0.000 0.000 1
Ca1 0.000 0.000 0.500 1
Ca2 0.250 0.250 0.250 1
Tc1 0.250 0.250 0.750 1


No. 2
# BaCa2Tc (meta-GGA SCAN, single point on PBEsol structure)
# calculated volume: 127.9 Å³/f.u.
# size of the total moment: 2.43 μB per cell
# DFT formation energy: 544 meV per atom
# uncorrected energy: -91.76 eV per cell
# E above lowest polymorph: 0.0 meV/atom
data_BaCa2Tc
_symmetry_space_group_name_H-M 'P 4/m m m'
_symmetry_Int_Tables_number 123
_symmetry_space_group_name_Hall '-P 4 2'
_cell_length_a 3.509
_cell_length_b 3.509
_cell_length_c 10.385
_cell_angle_alpha 90.00
_cell_angle_beta 90.00
_cell_angle_gamma 90.00
loop_
_atom_site_label
_atom_site_fract_x
_atom_site_fract_y
_atom_site_fract_z
_atom_site_occupancy
Ba1 0.000 0.000 0.000 1
Ca1 0.500 0.500 0.331 1
Tc1 0.000 0.000 0.500 1


No. 3
# BaCa2Te (meta-GGA SCAN, single point on PBEsol structure)
# calculated volume: 153.0 Å³/f.u.
# size of the total moment: 0.00 μB per cell
# formation energy (no corrections): -567 meV/atom
# uncorrected energy: -196.79 eV per cell
data_BaCa2Te
_symmetry_space_group_name_H-M 'C 1 2/m 1'
_symmetry_Int_Tables_number 12
_symmetry_space_group_name_Hall '-C 2y'
_cell_length_a 7.113
_cell_length_b 12.573
_cell_length_c 4.236
_cell_angle_alpha 90.00
_cell_angle_beta 126.12
_cell_angle_gamma 90.00
loop_
_atom_site_label
_atom_site_fract_x
_atom_site_fract_y
_atom_site_fract_z
_atom_site_occupancy
Ba1 0.000 0.000 0.000 1
Ca1 0.250 0.250 0.500 1
Te1 0.000 0.500 0.000 1


No. 4
# BaCa2Te (meta-GGA SCAN, single point on PBEsol structure)
# calculated volume: 162.8 Å³/f.u.
# size of the total moment: 0.03 μB per cell
# formation energy (no corrections): -833 meV/atom
# uncorrected energy: -198.92 eV per cell
data_BaCa2Te
_symmetry_space_group_name_H-M 'A m m 2'
_symmetry_Int_Tables_number 38
_symmetry_space_group_name_Hall 'A 2 -2'
_cell_length_a 4.327
_cell_length_b 5.422
_cell_length_c 13.873
_cell_angle_alpha 90.00
_cell_angle_beta 90.00
_cell_angle_gamma 90.00
loop_
_atom_site_label
_atom_site_fract_x
_atom_site_fract_y
_atom_site_fract_z
_atom_site_occupancy
Ba1 0.000 0.000 0.000 1
Ca1 0.000 0.000 0.714 1
Ca2 0.500 0.000 0.321 1
Te1 0.500 0.000 0.549 1